[1]
Computed, not measured: a geometry-optimized Ba2CdAs structure at the PBE level of DFT.

abc: 9.0533 9.0533 7.6669
angles: 53.81 53.81 90.00
Site moments in Bohr magnetons follow the coordinates.
Positions (direct):
1 As 0.5000 0.5000 0.0000  0.02
2 As 0.2500 0.7500 0.5000  0.02
3 Cd 0.0000 0.0000 0.0000  0.06
4 Cd 0.7500 0.2500 0.5000  0.06
5 Ba 0.3750 0.4153 0.7500  0.08
6 Ba 0.8750 0.8347 0.7500  0.08
7 Ba 0.5847 0.1250 0.2500  0.08
8 Ba 0.1653 0.6250 0.2500  0.08

Results
* energy relative to the lowest polymorph listed for this composition: 221.7 meV per atom
* formation enthalpy at 0 K: -0.472 eV/atom

***

[2]
Computed, not measured: a geometry-optimized BaCd2As structure at the PBE level of DFT.

abc: 4.0912 4.0912 6.9717
angles: 90.00 90.00 90.01
Positions (direct):
1 Cd 0.0000 0.0000 0.0483
2 Cd 0.0000 0.0000 0.4517
3 Ba 0.5000 0.5000 0.7500
4 As 0.5000 0.5000 0.2500

Results
* formation enthalpy at 0 K: -0.179 eV/atom

***

[3]
Computed, not measured: a geometry-optimized Ba2CdAs structure at the PBE level of DFT.

abc: 5.7660 5.7660 5.7660
angles: 60.00 60.00 60.00
Positions (direct):
1 Ba 0.2500 0.2500 0.2500
2 Ba 0.0000 0.0000 0.0000
3 Cd 0.7500 0.7500 0.7500
4 As 0.5000 0.5000 0.5000

Results
* energy relative to the lowest polymorph listed for this composition: 482.3 meV per atom
* formation enthalpy at 0 K: -0.212 eV/atom

***

[4]
Computed, not measured: a geometry-optimized Ba2CdAs structure at the PBE level of DFT.

abc: 5.5866 4.4494 5.6085
angles: 90.00 90.00 90.00
Positions (direct):
1 Ba 0.0000 0.1255 0.8831
2 Ba 0.5000 0.1244 0.3703
3 As 0.5000 0.6253 0.8577
4 Cd 0.0000 0.6248 0.3888

Results
* energy relative to the lowest polymorph listed for this composition: 42.5 meV per atom
* formation enthalpy at 0 K: -0.651 eV/atom